Material: CoP3H
Method: DFT, PBE-GGA
State: optimized geometry

Unit cell a=5.8161 b=3.0829 c=7.7988 alpha=90.00 beta=103.50 gamma=90.00
Positions (direct):
Co  0.9857  0.0000  0.2199
Co  0.9857  0.5000  0.7199
P  0.2685  0.0000  0.7796
P  0.2685  0.5000  0.2796
P  0.6281  0.0000  0.2861
P  0.6281  0.5000  0.7861
P  0.8766  0.0000  0.9260
P  0.8766  0.5000  0.4260
H  0.3659  0.0000  0.9673
H  0.3659  0.5000  0.4673

Results
**Space-group type**: Cm (8)

***

Material: CoP3H
Method: DFT, PBE-GGA
State: optimized geometry

Unit cell a=5.0990 b=8.9264 c=3.2489 alpha=90.00 beta=108.58 gamma=90.00
Positions (direct):
Co  0.8798  0.0000  0.6191
Co  0.8798  0.5000  0.1191
P  0.5796  0.0000  0.9691
P  0.5796  0.5000  0.4691
P  0.2086  0.3333  0.2836
P  0.2086  0.6667  0.2836
P  0.2086  0.8333  0.7836
P  0.2086  0.1667  0.7836
H  0.9987  0.0000  0.1798
H  0.9987  0.5000  0.6798

Results
**Space-group type**: Fmm2 (42)

***

Material: CoP3H
Method: DFT, PBE-GGA
State: optimized geometry

Unit cell a=5.4189 b=3.4522 c=7.5671 alpha=90.00 beta=104.92 gamma=90.00
Positions (direct):
Co  0.0452  0.0000  0.5967
Co  0.0452  0.5000  0.0967
P  0.7651  0.0000  0.0414
P  0.7651  0.5000  0.5414
P  0.3676  0.0000  0.1500
P  0.3676  0.5000  0.6500
P  0.0925  0.0000  0.8944
P  0.0925  0.5000  0.3944
H  0.6048  0.0000  0.8584
H  0.6048  0.5000  0.3584

Results
**Space-group type**: Cm (8)

***

Material: CoP3H
Method: DFT, PBE-GGA
State: optimized geometry

Unit cell a=3.2256 b=4.5566 c=8.8326 alpha=90.00 beta=90.00 gamma=90.00
Positions (direct):
Co  0.0000  0.5000  0.1530
Co  0.5000  0.0000  0.6530
P  0.0000  0.0000  0.4794
P  0.5000  0.5000  0.9794
P  0.0000  0.0000  0.0867
P  0.5000  0.5000  0.5867
P  0.0000  0.5000  0.4087
P  0.5000  0.0000  0.9087
H  0.0000  0.0000  0.7200
H  0.5000  0.5000  0.2200

Results
**Space-group type**: Imm2 (44)

***

Material: CoP3H
Method: DFT, PBE-GGA
State: optimized geometry

Unit cell a=4.1801 b=4.3511 c=4.4229 alpha=73.90 beta=86.15 gamma=81.48
Positions (direct):
Co  0.8825  0.7216  0.1227
P  0.9828  0.1911  0.2554
P  0.3631  0.9227  0.0320
P  0.9169  0.7687  0.6194
H  0.3425  0.1664  0.7373

Results
**Space-group type**: P1 (1)

***

Material: CoP3H
Method: DFT, PBE-GGA
State: optimized geometry

Unit cell a=3.2404 b=3.8004 c=5.8777 alpha=78.30 beta=86.49 gamma=73.65
Positions (direct):
Co  0.0939  0.2473  0.9228
P  0.5171  0.5348  0.7281
P  0.6283  0.3990  0.3660
P  0.0540  0.6796  0.1422
H  0.3473  0.9574  0.7161

Results
**Space-group type**: P1 (1)

***

Number 1: excess energy over the best structure of this formula in the dataset 132 meV per atom, DOS at the Fermi energy 5.7 states/eV/cell, final energy -5.312 eV/atom. Number 2: excess energy over the best structure of this formula in the dataset 121 meV per atom, DOS at the Fermi energy 3.8 states/eV/cell, final energy -5.323 eV/atom. Number 3: excess energy over the best structure of this formula in the dataset 54 meV per atom, DOS at the Fermi energy 2.9 states/eV/cell, final energy -5.390 eV/atom. Number 4: excess energy over the best structure of this formula in the dataset 114 meV per atom, DOS at the Fermi energy 4.4 states/eV/cell, final energy -5.331 eV/atom. Number 5: excess energy over the best structure of this formula in the dataset 107 meV per atom, DOS at the Fermi energy 2.2 states/eV/cell, final energy -5.338 eV/atom. Number 6: excess energy over the best structure of this formula in the dataset 112 meV per atom, DOS at the Fermi energy 1.9 states/eV/cell, final energy -5.332 eV/atom.